Entry 1:
# Cs2CaMgPt

An optimized crystal structure of Cs2CaMgPt (GGA-PBE, Alexandria via LeMat-Bulk).

```
Cs2CaMgPt
1.0
6.4684 0.0000 0.0000
0.0000 6.2737 0.0000
0.0000 0.0000 6.4684
Cs Ca Mg Pt
2 1 1 1
Direct
0.0000 0.0000 0.5000 Cs
0.5000 0.0000 0.0000 Cs
0.0000 0.5000 0.0000 Ca
0.0000 0.0000 0.0000 Mg
0.5000 0.5000 0.5000 Pt
```

Properties
Energy of formation from the pure elements = 0.763 eV per atom
Total DFT energy (no corrections) = -7.5 eV/cell
SG = P4/mmm, No. 123
Magnetization = 0.0 μB per formula unit



Entry 2:
# CuSb2S6

An optimized crystal structure of CuSb2S6 (GGA-PBE, Alexandria via LeMat-Bulk).

```
CuSb2S6
1.0
6.0532 0.0000 0.0000
0.0000 6.0532 0.0000
0.0000 0.0000 11.0085
Cu Sb S
2 4 12
Direct
0.0000 0.0000 0.0000 Cu
0.5000 0.5000 0.5000 Cu
0.0000 0.0000 0.3331 Sb
0.5000 0.5000 0.8331 Sb
0.5000 0.5000 0.1669 Sb
0.0000 0.0000 0.6669 Sb
0.3121 0.3121 0.3434 S
0.6879 0.6879 0.3434 S
0.1879 0.8121 0.8434 S
0.8121 0.1879 0.8434 S
0.1879 0.8121 0.1566 S
0.8121 0.1879 0.1566 S
0.3121 0.3121 0.6566 S
0.6879 0.6879 0.6566 S
0.2977 0.2977 0.0000 S
0.7023 0.7023 0.0000 S
0.2023 0.7977 0.5000 S
0.7977 0.2023 0.5000 S
```

Properties
Total DFT energy (no corrections) = -72.1 eV/cell
Energy relative to the elements, uncorrected = 1.07 eV per formula unit
SG = P4_2/mnm, No. 136
Magnetization = 0.0 μB per formula unit



Entry 3:
# CaInTe2N

An optimized crystal structure of CaInTe2N (GGA-PBE, Alexandria via LeMat-Bulk).

```
CaInTe2N
1.0
-3.3672 -2.6028 4.2001
4.9412 -1.7676 2.8660
-0.0043 3.7245 2.3046
N Ca Te In
1 1 2 1
Direct
0.0000 0.0000 0.5000 N
0.0000 0.0000 0.0000 Ca
0.0000 0.5000 0.0000 Te
0.5000 0.0000 0.0000 Te
0.5000 0.5000 0.5000 In
```

Properties
Total DFT energy (no corrections) = -16.6 eV/cell
Energy relative to the elements, uncorrected = 2.79 eV per formula unit
SG = P4/mmm, No. 123
Magnetization = 0.0 μB per formula unit



Entry 4:
# SrHS2

An optimized crystal structure of SrHS2 (GGA-PBE, Alexandria via LeMat-Bulk).

```
SrHS2
1.0
-2.5030 -4.8971 3.0975
-1.9645 -5.8130 -1.4802
1.7575 -5.9015 1.3875
Sr S H
1 2 1
Direct
0.5000 0.5000 0.5000 Sr
0.9075 0.9075 0.9075 S
0.0925 0.0925 0.0925 S
0.0000 0.0000 0.0000 H
```

Properties
Total DFT energy (no corrections) = -16.4 eV/cell
SG = R-3m, No. 166
Magnetization = 1.0 μB per formula unit



Entry 5:
# YCd2In

An optimized crystal structure of YCd2In (GGA-PBE, Alexandria via LeMat-Bulk).

```
YCd2In
1.0
-2.9638 -3.0439 -1.2006
3.3590 -3.1933 -0.1960
-0.7497 -1.0683 4.5592
Y Cd In
1 2 1
Direct
0.0000 0.5000 0.5000 Y
0.0000 0.0000 0.0000 Cd
0.5000 0.5000 0.0000 Cd
0.5000 0.0000 0.5000 In
```

Properties
Energy of formation from the pure elements = -0.341 eV per atom
Total DFT energy (no corrections) = -12.4 eV/cell
SG = Pmmm, No. 47
Magnetization = 0.0 μB per formula unit



Entry 6:
# Li2Tl2Hg5Pb

An optimized crystal structure of Li2Tl2Hg5Pb (GGA-PBE, Alexandria via LeMat-Bulk).

```
Li2Tl2Hg5Pb
1.0
-2.1709 -1.7151 2.3293
5.3311 -10.2803 -2.6007
7.8545 1.8725 8.6989
Li Tl Hg Pb
4 4 10 2
Direct
0.0000 0.1253 0.6253 Li
0.0000 0.8747 0.3747 Li
0.0000 0.6253 0.8747 Li
0.0000 0.3747 0.1253 Li
0.0000 0.6847 0.1847 Tl
0.0000 0.3153 0.8153 Tl
0.0000 0.1847 0.3153 Tl
0.0000 0.8153 0.6847 Tl
0.5000 0.2174 0.0474 Hg
0.5000 0.7826 0.9526 Hg
0.5000 0.0474 0.7826 Hg
0.5000 0.7174 0.4526 Hg
0.5000 0.9526 0.2174 Hg
0.5000 0.2826 0.5474 Hg
0.5000 0.5474 0.7174 Hg
0.5000 0.4526 0.2826 Hg
0.5000 0.5000 0.0000 Hg
0.5000 0.0000 0.5000 Hg
0.0000 0.0000 0.0000 Pb
0.0000 0.5000 0.5000 Pb
```

Properties
Energy of formation from the pure elements = -0.101 eV per atom
Total DFT energy (no corrections) = -29.6 eV/cell
SG = P4/mbm, No. 127
Magnetization = 0.0 μB per formula unit



Entry 7:
# K3TiI6

An optimized crystal structure of K3TiI6 (GGA-PBE, Alexandria via LeMat-Bulk).

```
K3TiI6
1.0
-0.6470 -6.0006 -7.7138
-6.2961 -5.6055 4.9865
-7.4145 5.3800 -3.4654
K Ti I
6 2 12
Direct
0.0803 0.5710 0.2436 K
0.2436 0.0803 0.5710 K
0.4290 0.7564 0.9197 K
0.5710 0.2436 0.0803 K
0.7564 0.9197 0.4290 K
0.9197 0.4290 0.7564 K
0.0000 0.0000 0.0000 Ti
0.5000 0.5000 0.5000 Ti
0.0635 0.7289 0.9153 I
0.0847 0.9365 0.2711 I
0.2200 0.4396 0.5494 I
0.2711 0.0847 0.9365 I
0.4396 0.5494 0.2200 I
0.4506 0.7800 0.5604 I
0.5494 0.2200 0.4396 I
0.5604 0.4506 0.7800 I
0.7289 0.9153 0.0635 I
0.7800 0.5604 0.4506 I
0.9153 0.0635 0.7289 I
0.9365 0.2711 0.0847 I
```

Properties
Total DFT energy (no corrections) = -64.1 eV/cell
Energy relative to the elements, uncorrected = -11.55 eV per formula unit
SG = R-3, No. 148
Magnetization = 1.0 μB per formula unit



Entry 8:
# Zr2AgMoH

An optimized crystal structure of Zr2AgMoH (GGA-PBE, Alexandria via LeMat-Bulk).

```
Zr2AgMoH
1.0
4.6987 0.0000 0.0000
0.0000 4.6987 0.0000
0.0000 0.0000 3.6363
H Mo Zr Ag
1 1 2 1
Direct
0.0000 0.0000 0.0000 H
0.0000 0.0000 0.5000 Mo
0.0000 0.5000 0.0000 Zr
0.5000 0.0000 0.0000 Zr
0.5000 0.5000 0.5000 Ag
```

Properties
Total DFT energy (no corrections) = -34.6 eV/cell
SG = P4/mmm, No. 123
Magnetization = 0.0 μB per formula unit